CePmLuPa | GGA-PBE | relaxed

Unit cell a=7.8152 b=7.8152 c=7.8152 alpha=90.00 beta=90.00 gamma=90.00
Last column: nearest neighbours and their distance in Å.
Space group F-43m (No. 216)
Inequivalent atoms, fractional coordinates:
Ce1 0.0000 0.0000 0.0000 x4  4 Pa 3.38, 4 Lu 3.38
Pm1 0.0000 0.0000 0.5000 x4  4 Lu 3.38, 4 Pa 3.38
Lu1 0.2500 0.2500 0.7500 x4  4 Ce 3.38, 4 Pm 3.38
Pa1 0.2500 0.2500 0.2500 x4  4 Pm 3.38, 4 Ce 3.38

Results
DFT total energy: -5.7961 eV/atom
Density of states at the Fermi level: 52.262 states/eV per cell